(1)
# BeHgOsW

A geometry-optimized BeHgOsW structure (PBE-GGA, OQMD via LeMat-Bulk).

For the calculated volume, the calculation gives 242.6 Å³/cell. For the energy above the lowest structure with this stoichiometry, the calculation gives 0.00 eV per formula unit.

The structure in CIF format:
```
data_BeHgOsW
_chemical_formula_sum 'Be4 Hg4 Os4 W4'
_symmetry_space_group_name_H-M 'F -4 3 m'
_symmetry_Int_Tables_number 216
_symmetry_space_group_name_Hall 'F -4 2 3'
_cell_length_a 6.2371
_cell_length_b 6.2371
_cell_length_c 6.2371
_cell_angle_alpha 90.00
_cell_angle_beta 90.00
_cell_angle_gamma 90.00
loop_
_atom_site_label
_atom_site_type_symbol
_atom_site_fract_x
_atom_site_fract_y
_atom_site_fract_z
Be1 Be 0.0000 0.0000 0.0000
Hg1 Hg 0.2500 0.2500 0.7500
Os1 Os 0.0000 0.0000 0.5000
W1 W 0.2500 0.2500 0.2500
```

(2)
# PaBeHg

A geometry-optimized PaBeHg structure (PBE-GGA, OQMD via LeMat-Bulk).

For the calculated volume, the calculation gives 309.3 Å³/cell. For the energy above the lowest structure with this stoichiometry, the calculation gives 1.85 eV per formula unit.

The structure in CIF format:
```
data_PaBeHg
_chemical_formula_sum 'Pa4 Be4 Hg4'
_symmetry_space_group_name_H-M 'F -4 3 m'
_symmetry_Int_Tables_number 216
_symmetry_space_group_name_Hall 'F -4 2 3'
_cell_length_a 6.7628
_cell_length_b 6.7628
_cell_length_c 6.7628
_cell_angle_alpha 90.00
_cell_angle_beta 90.00
_cell_angle_gamma 90.00
loop_
_atom_site_label
_atom_site_type_symbol
_atom_site_fract_x
_atom_site_fract_y
_atom_site_fract_z
Pa1 Pa 0.0000 0.0000 0.0000
Be1 Be 0.2500 0.2500 0.7500
Hg1 Hg 0.2500 0.2500 0.2500
```

Q: Which formula does entry 1 have?
A: BeHgOsW